Compound: Ce2Zr
Source: Alexandria
Functional: PBE
Structure: optimized geometry

a b c (Å): 3.920 3.920 5.684
angles (deg): 110.03 110.03 90.13
Atoms (fractional coordinates):
Zr: 0.500 0.500 0.000
Ce: 0.167 0.167 0.334
Ce: 0.833 0.833 0.666

The calculation puts the total magnetization at 0.000 μB per atom. The value obtained for the density of states at the Fermi level is 7.963 states/eV per cell. As for the raw total energy: -6.644 eV per atom. The formation energy comes out at 161.6 meV/atom. As for the space-group type: No. 12.

=====

Compound: Ce4Zr
Source: Alexandria
Functional: PBE
Structure: optimized geometry

a b c (Å): 5.524 5.524 5.524
angles (deg): 90.00 90.00 90.00
Atoms (fractional coordinates):
Ce: 0.000 0.000 0.000
Ce: 0.500 0.000 0.500
Ce: 0.000 0.500 0.500
Ce: 0.500 0.500 0.000
Zr: 0.500 0.500 0.500

The calculation puts the total magnetization at 0.756 μB per atom. The value obtained for the density of states at the Fermi level is 20.695 states/eV per cell. As for the raw total energy: -5.816 eV per atom. The formation energy comes out at 640.3 meV/atom. As for the space-group type: No. 221.

=====

Compound: Ce3Zr2
Source: Alexandria
Functional: PBE
Structure: optimized geometry

a b c (Å): 6.280 6.280 8.794
angles (deg): 69.08 69.08 60.00
Atoms (fractional coordinates):
Zr: 0.808 0.808 0.575
Zr: 0.308 0.308 0.075
Zr: 0.192 0.192 0.425
Zr: 0.692 0.692 0.925
Ce: 0.250 0.750 0.750
Ce: 0.750 0.250 0.750
Ce: 0.250 0.250 0.750
Ce: 0.250 0.750 0.250
Ce: 0.750 0.750 0.250
Ce: 0.750 0.250 0.250

The calculation puts the total magnetization at 0.294 μB per atom. The value obtained for the density of states at the Fermi level is 27.357 states/eV per cell. As for the raw total energy: -6.645 eV per atom. The formation energy comes out at 334.9 meV/atom. As for the space-group type: No. 166.

=====

Compound: CeZr2
Source: Alexandria
Functional: PBE
Structure: optimized geometry

a b c (Å): 6.013 6.013 6.013
angles (deg): 60.00 60.00 60.00
Atoms (fractional coordinates):
Zr: 0.125 0.625 0.625
Zr: 0.625 0.125 0.625
Zr: 0.625 0.625 0.625
Zr: 0.625 0.625 0.125
Ce: 0.000 0.000 0.000
Ce: 0.250 0.250 0.250

The calculation puts the total magnetization at 0.000 μB per atom. The value obtained for the density of states at the Fermi level is 15.697 states/eV per cell. As for the raw total energy: -7.410 eV per atom. The formation energy comes out at 266.3 meV/atom. As for the space-group type: No. 227.

=====

Compound: CeZr5
Source: Alexandria
Functional: PBE
Structure: optimized geometry

a b c (Å): 4.597 4.575 7.197
angles (deg): 108.53 90.00 90.00
Atoms (fractional coordinates):
Zr: 0.000 0.667 0.334
Zr: 0.000 0.333 0.666
Zr: 0.500 0.500 0.000
Zr: 0.500 0.170 0.340
Zr: 0.500 0.830 0.660
Ce: 0.000 0.000 0.000

The calculation puts the total magnetization at 0.000 μB per atom. The value obtained for the density of states at the Fermi level is 8.357 states/eV per cell. As for the raw total energy: -8.044 eV per atom. The formation energy comes out at 68.6 meV/atom. As for the space-group type: No. 65.

=====

Compound: Ce2Zr
Source: Alexandria
Functional: PBE
Structure: optimized geometry

a b c (Å): 6.043 6.043 6.043
angles (deg): 60.00 60.00 60.00
Atoms (fractional coordinates):
Zr: 0.000 0.000 0.000
Zr: 0.250 0.250 0.250
Ce: 0.125 0.625 0.625
Ce: 0.625 0.125 0.625
Ce: 0.625 0.625 0.625
Ce: 0.625 0.625 0.125

The calculation puts the total magnetization at 0.466 μB per atom. The value obtained for the density of states at the Fermi level is 20.812 states/eV per cell. As for the raw total energy: -6.436 eV per atom. The formation energy comes out at 369.4 meV/atom. As for the space-group type: No. 227.

=====

Compound: CeZr2
Source: Alexandria
Functional: PBE
Structure: optimized geometry

a b c (Å): 3.143 3.143 7.782
angles (deg): 101.65 101.65 90.00
Atoms (fractional coordinates):
Zr: 0.673 0.673 0.347
Zr: 0.327 0.327 0.653
Ce: 0.000 0.000 0.000

The calculation puts the total magnetization at 0.039 μB per atom. The value obtained for the density of states at the Fermi level is 5.646 states/eV per cell. As for the raw total energy: -7.611 eV per atom. The formation energy comes out at 65.9 meV/atom. As for the space-group type: No. 139.

=====

Compound: Ce2Zr
Source: Alexandria
Functional: PBE
Structure: optimized geometry

a b c (Å): 4.714 5.695 7.404
angles (deg): 58.75 71.44 65.55
Atoms (fractional coordinates):
Ce: 0.979 0.983 0.060
Ce: 0.641 0.990 0.729
Ce: 0.966 0.517 0.551
Ce: 0.304 0.510 0.882
Zr: 0.303 0.023 0.371
Zr: 0.641 0.477 0.240

The calculation puts the total magnetization at 0.000 μB per atom. The value obtained for the density of states at the Fermi level is 12.614 states/eV per cell. As for the raw total energy: -6.736 eV per atom. The formation energy comes out at 68.9 meV/atom. As for the space-group type: No. 12.

=====

Compound: Co3Cl
Source: Alexandria
Functional: PBE
Structure: optimized geometry

a b c (Å): 3.915 3.915 7.287
angles (deg): 58.85 58.85 42.28
Atoms (fractional coordinates):
Co: 0.500 0.500 0.500
Co: 0.687 0.687 0.674
Co: 0.313 0.313 0.326
Cl: 0.000 0.000 0.000

Its uncorrected formation energy is 137 kJ/mol of formula units. The calculation puts the total magnetization at 1.391 μB per atom. The value obtained for the density of states at the Fermi level is 3.971 states/eV per cell. As for the raw total energy: -5.435 eV per atom. As for the space-group type: No. 12.

=====

Compound: CoCl3
Source: Alexandria
Functional: PBE
Structure: optimized geometry

a b c (Å): 8.147 8.147 4.350
angles (deg): 90.00 90.00 90.81
Atoms (fractional coordinates):
Co: 0.436 0.564 0.250
Co: 0.564 0.436 0.750
Cl: 0.973 0.027 0.750
Cl: 0.027 0.973 0.250
Cl: 0.795 0.544 0.750
Cl: 0.205 0.456 0.250
Cl: 0.456 0.205 0.750
Cl: 0.544 0.795 0.250

Its uncorrected formation energy is -51 kJ/mol of formula units. The calculation puts the total magnetization at 0.756 μB per atom. The value obtained for the density of states at the Fermi level is 7.450 states/eV per cell. As for the raw total energy: -3.293 eV per atom. As for the space-group type: No. 63.

=====

Compound: CoCl4
Source: Alexandria
Functional: PBE
Structure: optimized geometry

a b c (Å): 5.212 5.212 5.212
angles (deg): 109.47 109.47 109.47
Atoms (fractional coordinates):
Co: 0.000 0.000 0.000
Cl: 0.500 0.000 0.000
Cl: 0.500 0.500 0.500
Cl: 0.000 0.500 0.000
Cl: 0.000 0.000 0.500

Its uncorrected formation energy is 126 kJ/mol of formula units. The calculation puts the total magnetization at 0.496 μB per atom. The value obtained for the density of states at the Fermi level is 9.454 states/eV per cell. As for the raw total energy: -2.636 eV per atom. As for the space-group type: No. 229.

=====

Compound: Co3Cl
Source: Alexandria
Functional: PBE
Structure: optimized geometry

a b c (Å): 2.889 3.470 5.758
angles (deg): 90.00 90.00 90.00
Atoms (fractional coordinates):
Co: 0.500 0.000 0.507
Co: 0.500 0.500 0.751
Co: 0.000 0.500 0.371
Cl: 0.000 0.000 0.038

Its uncorrected formation energy is 182 kJ/mol of formula units. The calculation puts the total magnetization at 1.419 μB per atom. The value obtained for the density of states at the Fermi level is 3.264 states/eV per cell. As for the raw total energy: -5.319 eV per atom. As for the space-group type: No. 25.